#one
DFT (PBE) results for a relaxed Ti2AlN crystal.

Calculated values
ρ ... 3.8 Mg/m³
V ... 15.02 Å³ per atom
Fermi-level density of states ... 0.26 states/eV/atom

a = 5.3854 Å, b = 5.3854 Å, c = 5.3854 Å
α = 110.45°, β = 110.45°, γ = 107.53°
With the nearest neighbours (Å) after each atom.
Atoms (fractional coordinates):
Ti  0.0295  0.6250  0.9045  2 N 1.97
Ti  0.3750  0.2795  0.4045  2 N 1.97
Ti  0.7205  0.1250  0.0955  2 N 1.97
Ti  0.8750  0.9705  0.5955  2 N 1.97
Al  0.2500  0.7500  0.5000  8 Ti 2.74-2.99
Al  0.5000  0.5000  0.0000  8 Ti 2.74-2.99
N  0.0000  0.0000  0.0000  4 Ti 1.97
N  0.7500  0.2500  0.5000  4 Ti 1.97

#two
DFT (PBE) results for a relaxed Ti2AlN crystal.

Calculated values
ρ ... 4.3 Mg/m³
V ... 13.25 Å³ per atom
Fermi-level density of states ... 0.54 states/eV/atom

a = 2.9955 Å, b = 2.9955 Å, c = 13.6449 Å
α = 90.00°, β = 90.00°, γ = 120.00°
With the nearest neighbours (Å) after each atom.
Atoms (fractional coordinates):
Ti  0.3333  0.6667  0.0856  3 N 2.09
Ti  0.3333  0.6667  0.4144  3 N 2.09
Ti  0.6667  0.3333  0.5856  3 N 2.09
Ti  0.6667  0.3333  0.9144  3 N 2.09
Al  0.3333  0.6667  0.7500  6 Ti 2.83, 6 Al 3.00
Al  0.6667  0.3333  0.2500  6 Ti 2.83, 6 Al 3.00
N  0.0000  0.0000  0.0000  6 Ti 2.09
N  0.0000  0.0000  0.5000  6 Ti 2.09

Of the structures shown above, #one is the least stable.